(1)
First-principles (PBE) data for a relaxed structure of PmPd2I8, as listed in Alexandria. Values from VASP.

Structure (Quantum ESPRESSO input):
```
&SYSTEM
  ibrav = 0, nat = 11, ntyp = 3
/
ATOMIC_SPECIES
Pm 145.00 Pm.upf
Pd 106.42 Pd.upf
I 126.90 I.upf
ATOMIC_POSITIONS crystal
Pm 0.0000 0.0000 0.0000
Pd 0.1770 0.1770 0.7134
Pd 0.8230 0.8230 0.2866
I 0.1065 0.6933 0.1941
I 0.2075 0.2075 0.3498
I 0.3067 0.8935 0.8059
I 0.3789 0.3789 0.9229
I 0.6211 0.6211 0.0771
I 0.6933 0.1065 0.1941
I 0.7925 0.7925 0.6502
I 0.8935 0.3067 0.8059
CELL_PARAMETERS angstrom
6.4533 -5.5492 0.0000
6.4533 5.5492 0.0000
-1.8467 0.0000 6.8553
```

The total energy is -2.951 eV per atom. The calculation puts the uncorrected formation energy at -0.448 eV per atom.

(2)
First-principles (PBE) data for a relaxed structure of Pm2PdI, as listed in Alexandria. Values from VASP.

Structure (Quantum ESPRESSO input):
```
&SYSTEM
  ibrav = 0, nat = 4, ntyp = 3
/
ATOMIC_SPECIES
Pm 145.00 Pm.upf
Pd 106.42 Pd.upf
I 126.90 I.upf
ATOMIC_POSITIONS crystal
Pm 0.3333 0.6667 0.1871
Pm 0.6667 0.3333 0.8129
Pd 0.0000 0.0000 0.0000
I 0.0000 0.0000 0.5000
CELL_PARAMETERS angstrom
4.2326 0.0000 0.0000
-2.1163 3.6655 0.0000
0.0000 0.0000 8.1225
```

The total energy is -4.908 eV per atom. The distance to the lowest polymorph of the same formula comes out at 21 meV/atom. The calculation puts the uncorrected formation energy at -0.847 eV per atom.

(3)
First-principles (PBE) data for a relaxed structure of PrPdI2, as listed in Alexandria. Values from VASP.

Structure (Quantum ESPRESSO input):
```
&SYSTEM
  ibrav = 0, nat = 4, ntyp = 3
/
ATOMIC_SPECIES
Pr 140.91 Pr.upf
Pd 106.42 Pd.upf
I 126.90 I.upf
ATOMIC_POSITIONS crystal
Pr 0.0000 0.0000 0.0000
Pd 0.5000 0.5000 0.5000
I 0.4091 0.4091 0.4091
I 0.5909 0.5909 0.5909
CELL_PARAMETERS angstrom
2.0636 1.1914 9.4954
-2.0636 1.1914 9.4954
0.0000 -2.3828 9.4954
```

The total energy is -3.816 eV per atom. The calculation puts the uncorrected formation energy at -0.548 eV per atom.

(4)
First-principles (PBE) data for a relaxed structure of Pr3PdI3, as listed in Alexandria. Values from VASP.

Structure (Quantum ESPRESSO input):
```
&SYSTEM
  ibrav = 0, nat = 14, ntyp = 3
/
ATOMIC_SPECIES
Pr 140.91 Pr.upf
Pd 106.42 Pd.upf
I 126.90 I.upf
ATOMIC_POSITIONS crystal
Pr 0.0892 0.2500 0.3855
Pr 0.1213 0.2500 0.8545
Pr 0.3243 0.7500 0.6245
Pr 0.6757 0.2500 0.3755
Pr 0.8787 0.7500 0.1455
Pr 0.9108 0.7500 0.6145
Pd 0.1191 0.2500 0.6257
Pd 0.8809 0.7500 0.3743
I 0.1409 0.2500 0.1170
I 0.3807 0.7500 0.8759
I 0.3842 0.7500 0.3690
I 0.6158 0.2500 0.6310
I 0.6193 0.2500 0.1241
I 0.8591 0.7500 0.8830
CELL_PARAMETERS angstrom
9.4983 0.0000 0.0000
0.0000 4.2109 0.0000
-0.0851 0.0000 12.8285
```

The total energy is -4.518 eV per atom. The calculation puts the uncorrected formation energy at -1.064 eV per atom.

(5)
First-principles (PBE) data for a relaxed structure of Pr2PdI, as listed in Alexandria. Values from VASP.

Structure (Quantum ESPRESSO input):
```
&SYSTEM
  ibrav = 0, nat = 4, ntyp = 3
/
ATOMIC_SPECIES
Pr 140.91 Pr.upf
Pd 106.42 Pd.upf
I 126.90 I.upf
ATOMIC_POSITIONS crystal
Pr 0.0000 0.0000 0.2135
Pr 0.0000 0.0000 0.7865
Pd 0.5000 0.5000 0.0000
I 0.5000 0.5000 0.5000
CELL_PARAMETERS angstrom
3.6671 0.0000 0.0000
0.0000 3.6671 0.0000
0.0000 0.0000 8.4411
```

The total energy is -4.785 eV per atom. The distance to the lowest polymorph of the same formula comes out at 154 meV/atom. The calculation puts the uncorrected formation energy at -0.709 eV per atom.

(6)
First-principles (PBE) data for a relaxed structure of Pr4PdI5, as listed in Alexandria. Values from VASP.

Structure (Quantum ESPRESSO input):
```
&SYSTEM
  ibrav = 0, nat = 10, ntyp = 3
/
ATOMIC_SPECIES
Pr 140.91 Pr.upf
Pd 106.42 Pd.upf
I 126.90 I.upf
ATOMIC_POSITIONS crystal
Pr 0.0007 0.0007 0.2113
Pr 0.3483 0.3483 0.9231
Pr 0.6517 0.6517 0.0769
Pr 0.9993 0.9993 0.7887
Pd 0.5000 0.5000 0.0000
I 0.1679 0.1679 0.3450
I 0.1735 0.1735 0.8209
I 0.5000 0.5000 0.5000
I 0.8265 0.8265 0.1791
I 0.8321 0.8321 0.6550
CELL_PARAMETERS angstrom
9.9480 -2.1279 0.0000
9.9480 2.1279 0.0000
-2.0513 0.0000 9.0602
```

The total energy is -4.354 eV per atom. The calculation puts the uncorrected formation energy at -1.148 eV per atom.

(7)
First-principles (PBE) data for a relaxed structure of Pr2PdI2, as listed in Alexandria. Values from VASP.

Structure (Quantum ESPRESSO input):
```
&SYSTEM
  ibrav = 0, nat = 5, ntyp = 3
/
ATOMIC_SPECIES
Pr 140.91 Pr.upf
Pd 106.42 Pd.upf
I 126.90 I.upf
ATOMIC_POSITIONS crystal
Pr 0.1197 0.1197 0.1197
Pr 0.8803 0.8803 0.8803
Pd 0.5000 0.5000 0.5000
I 0.2752 0.2752 0.2752
I 0.7248 0.7248 0.7248
CELL_PARAMETERS angstrom
2.1318 1.2308 11.9392
-2.1318 1.2308 11.9392
0.0000 -2.4616 11.9392
```

The total energy is -4.645 eV per atom. The calculation puts the uncorrected formation energy at -1.074 eV per atom.

(8)
First-principles (PBE) data for a relaxed structure of Pr2PdI, as listed in Alexandria. Values from VASP.

Structure (Quantum ESPRESSO input):
```
&SYSTEM
  ibrav = 0, nat = 4, ntyp = 3
/
ATOMIC_SPECIES
Pr 140.91 Pr.upf
Pd 106.42 Pd.upf
I 126.90 I.upf
ATOMIC_POSITIONS crystal
Pr 0.3333 0.6667 0.3096
Pr 0.6667 0.3333 0.6904
Pd 0.0000 0.0000 0.5000
I 0.0000 0.0000 0.0000
CELL_PARAMETERS angstrom
4.2787 0.0000 0.0000
-2.1393 3.7055 0.0000
0.0000 0.0000 8.2156
```

The total energy is -4.923 eV per atom. The distance to the lowest polymorph of the same formula comes out at 16 meV/atom. The calculation puts the uncorrected formation energy at -0.848 eV per atom.